# 1
! Re3Pb (PBE, relaxed); values from VASP
&SYSTEM
  ibrav = 0, nat = 4, ntyp = 2
/
ATOMIC_SPECIES
Pb 207.20 Pb.upf
Re 186.21 Re.upf
ATOMIC_POSITIONS angstrom
Pb 0.000 0.000 0.000
Re 2.283 1.318 0.932
Re 4.566 2.636 1.864
Re 6.848 3.954 2.796
CELL_PARAMETERS angstrom
4.566 0.000 0.000
2.283 3.954 0.000
2.283 1.318 3.728
! * E_tot: -37.08 eV per cell
! * energy of formation from the pure elements: 0.9938 eV/atom
! * ΔE to the lowest computed polymorph: 1.46 eV/f.u.

---

# 2
! HoSiOs (PBE, relaxed); values from VASP
&SYSTEM
  ibrav = 0, nat = 3, ntyp = 3
/
ATOMIC_SPECIES
Si 28.09 Si.upf
Os 190.23 Os.upf
Ho 164.93 Ho.upf
ATOMIC_POSITIONS angstrom
Si 0.597 2.121 1.225
Os 0.597 0.000 0.000
Ho 2.390 0.000 2.449
CELL_PARAMETERS angstrom
3.585 0.000 0.000
0.000 4.242 0.000
0.000 -2.121 3.674
! * E_tot: -22.78 eV per cell
! * ΔE_f (raw): -515 meV/atom

---

# 3
! TlCuW3 (PBE, relaxed); values from VASP
&SYSTEM
  ibrav = 0, nat = 5, ntyp = 3
/
ATOMIC_SPECIES
Tl 204.38 Tl.upf
Cu 63.55 Cu.upf
W 183.84 W.upf
ATOMIC_POSITIONS angstrom
Tl 0.000 0.000 0.000
Cu 2.476 2.476 2.476
W 0.000 2.476 0.000
W 0.000 0.000 2.476
W 2.476 0.000 0.000
CELL_PARAMETERS angstrom
4.952 0.000 0.000
0.000 4.952 0.000
0.000 0.000 4.952
! * E_tot: -28.08 eV per cell
! * energy of formation from the pure elements: 3.4481 eV/atom
! * ΔE to the lowest computed polymorph: 7.94 eV/f.u.

---

# 4
! SrErAgHg (PBE, relaxed); values from VASP
&SYSTEM
  ibrav = 0, nat = 4, ntyp = 4
/
ATOMIC_SPECIES
Sr 87.62 Sr.upf
Hg 200.59 Hg.upf
Ag 107.87 Ag.upf
Er 167.26 Er.upf
ATOMIC_POSITIONS angstrom
Sr 5.358 3.093 2.187
Hg 8.036 4.640 3.281
Ag 2.679 1.547 1.094
Er 0.000 0.000 0.000
CELL_PARAMETERS angstrom
5.358 0.000 0.000
2.679 4.640 0.000
2.679 1.547 4.375
! * E_tot: -10.66 eV per cell
! * energy of formation from the pure elements: -0.3156 eV/atom

---

> The lowest E_tot belongs to which entry?

Re3Pb